Below is a relaxed structure of PmSm2Ga4, with properties calculated at the PBE level.

The space group is Immm. Its total energy is -4.399 eV per atom.

Structure (POSCAR):
```
PmSm2Ga4
1.0
-2.100 2.179 9.305
2.100 -2.179 9.305
2.100 2.179 -9.305
Pm Sm Ga
1 2 4
Cartesian
0.000 0.000 0.000
2.100 0.000 3.428
0.000 2.179 5.878
2.100 0.000 6.628
0.000 0.000 8.073
0.000 0.000 10.537
0.000 2.179 2.677
```

Below is a relaxed structure of ErMgIn4, with properties calculated at the PBE level.

The space group is P4/mmm. Its total energy is -2.853 eV per atom.

Structure (POSCAR):
```
ErMgIn4
1.0
4.679 0.000 0.000
0.000 4.679 0.000
0.000 0.000 7.878
Er Mg In
1 1 4
Cartesian
0.000 0.000 0.000
2.340 2.340 3.939
0.000 2.340 2.127
0.000 2.340 5.751
2.340 0.000 2.127
2.340 0.000 5.751
```

Below is a relaxed structure of SrFeAs2, with properties calculated at the PBE level.

The space group is Immm. Its total energy is -5.170 eV per atom.

Structure (POSCAR):
```
SrFeAs2
1.0
-2.038 3.082 3.664
2.038 -3.082 3.664
2.038 3.082 -3.664
Sr Fe As
1 1 2
Cartesian
0.000 0.000 0.000
0.000 0.000 3.664
2.038 0.000 2.372
0.000 3.082 1.293
```

Below is a relaxed structure of AgTeSeO6, with properties calculated at the PBE level.

The space group is P-31c. The value obtained for the raw formation energy is -0.553 eV per atom.

Structure (POSCAR):
```
AgTeSeO6
1.0
5.240 0.000 0.000
-2.620 4.538 0.000
0.000 0.000 10.408
Ag Te Se O
2 2 2 12
Cartesian
0.000 0.000 0.000
0.000 0.000 5.204
0.000 3.025 2.602
2.620 1.513 7.806
0.000 3.025 7.806
2.620 1.513 2.602
4.258 1.698 6.709
-0.980 1.700 1.505
3.599 2.838 8.903
-1.638 2.840 3.699
-0.658 4.536 1.505
0.980 1.700 3.699
1.962 0.001 6.709
0.982 1.698 8.903
0.658 4.536 3.699
1.638 2.840 1.505
3.278 0.001 8.903
1.640 2.838 6.709
```